Material: Ni2PAuC
Method: DFT, GGA-PBE
State: relaxed

Geometry as CIF:
```
data_Ni2PAuC
_cell_length_a 3.8006
_cell_length_b 3.8006
_cell_length_c 4.4427
_cell_angle_alpha 90.00
_cell_angle_beta 90.00
_cell_angle_gamma 90.00
_space_group_name_H-M_alt 'P 4/m m m'
_space_group_IT_number 123
_space_group_name_Hall '-P 4 2'
loop_
_atom_site_label
_atom_site_type_symbol
_atom_site_fract_x
_atom_site_fract_y
_atom_site_fract_z
_atom_site_occupancy
Ni1 Ni 0.0000 0.5000 0.0000 1
P1 P 0.0000 0.0000 0.5000 1
Au1 Au 0.5000 0.5000 0.5000 1
C1 C 0.5000 0.5000 0.0000 1
```

Output
As for the density of states at the Fermi level: 0.522 states/eV per atom. As for the formation energy: 2.82 eV/f.u. As for the total energy: -5.3303 eV/atom.

***

Material: Ni2PdAuC
Method: DFT, GGA-PBE
State: relaxed

Geometry as CIF:
```
data_Ni2PdAuC
_cell_length_a 3.8676
_cell_length_b 3.8676
_cell_length_c 4.1689
_cell_angle_alpha 90.00
_cell_angle_beta 90.00
_cell_angle_gamma 90.00
_space_group_name_H-M_alt 'P 4/m m m'
_space_group_IT_number 123
_space_group_name_Hall '-P 4 2'
loop_
_atom_site_label
_atom_site_type_symbol
_atom_site_fract_x
_atom_site_fract_y
_atom_site_fract_z
_atom_site_occupancy
Ni1 Ni 0.0000 0.5000 0.0000 1
Pd1 Pd 0.0000 0.0000 0.5000 1
Au1 Au 0.5000 0.5000 0.5000 1
C1 C 0.0000 0.0000 0.0000 1
```

Output
As for the density of states at the Fermi level: 1.018 states/eV per atom. As for the formation energy: 0.94 eV/f.u. As for the total energy: -5.6643 eV/atom.

***

- The lowest total energy belongs to which entry?
  Ni2PdAuC